1.
A plane-wave DFT calculation with PBE was carried out for a geometry-optimized BeTeP2 structure.

It has space group I-4m2 (No. 119), with a = 4.565 Å, b = 4.565 Å, c = 6.402 Å, α = 90.00°, β = 90.00° and γ = 90.00°. The inequivalent atoms are Be at (0.000, 0.000, 0.000), Te at (0.000, 0.500, 0.250), P at (0.000, 0.000, 0.500) and P at (0.000, 0.500, 0.750).

The calculation puts the energy at -3.600 eV per atom. The relative energy among the computed polymorphs comes out at 668 meV per atom. The calculation puts the formation energy (no corrections) at 822 meV per atom. The value obtained for the size of the total moment is 0.000 μB/cell.


2.
A plane-wave DFT calculation with PBE was carried out for a geometry-optimized BeTeP2 structure.

It has space group R3m (No. 160, hexagonal axes), with a = 3.4502 Å, b = 3.4502 Å, c = 25.0711 Å, α = 90.00°, β = 90.00° and γ = 120.00°. The inequivalent atoms are Be at (0.0000, 0.0000, 0.0000), Te at (0.0000, 0.0000, 0.2799), P at (0.0000, 0.0000, 0.4552) and P at (0.0000, 0.0000, 0.7409).

The calculation puts the energy at -4.241 eV per atom. The relative energy among the computed polymorphs comes out at 27 meV per atom. The calculation puts the formation energy (no corrections) at 181 meV per atom. The value obtained for the size of the total moment is 0.000 μB/cell.


3.
A plane-wave DFT calculation with PBE was carried out for a geometry-optimized BeTeP2 structure.

It has space group Fm-3m (No. 225), with a = 6.475 Å, b = 6.475 Å, c = 6.475 Å, α = 90.00°, β = 90.00° and γ = 90.00°. The inequivalent atoms are Be at (0.000, 0.000, 0.000), Te at (0.000, 0.000, 0.500) and P at (0.250, 0.250, 0.250).

The calculation puts the energy at -3.558 eV per atom. The relative energy among the computed polymorphs comes out at 711 meV per atom. The calculation puts the formation energy (no corrections) at 864 meV per atom. The value obtained for the size of the total moment is 0.000 μB/cell.


4.
A plane-wave DFT calculation with PBE was carried out for a geometry-optimized BeTeP2 structure.

It has space group R-3m (No. 166, hexagonal axes), with a = 3.6553 Å, b = 3.6553 Å, c = 17.8188 Å, α = 90.00°, β = 90.00° and γ = 120.00°. The inequivalent atoms are Be at (0.0000, 0.0000, 0.0000), Te at (0.0000, 0.0000, 0.5000) and P at (0.0000, 0.0000, 0.2726).

The calculation puts the energy at -4.102 eV per atom. The relative energy among the computed polymorphs comes out at 166 meV per atom. The calculation puts the formation energy (no corrections) at 320 meV per atom. The value obtained for the size of the total moment is 0.000 μB/cell.


5.
A plane-wave DFT calculation with PBE was carried out for a geometry-optimized BeTeP structure.

It has space group P-1 (No. 2), with a = 3.872 Å, b = 5.754 Å, c = 6.439 Å, α = 93.97°, β = 102.42° and γ = 109.66°. The inequivalent atoms are Be at (0.212, 0.229, 0.285), Te at (0.342, 0.315, 0.679) and P at (0.401, 0.926, 0.826).

The calculation puts the energy at -4.150 eV per atom. The calculation puts the formation energy (no corrections) at -58 meV per atom. The value obtained for the size of the total moment is 0.000 μB/cell.


6.
A plane-wave DFT calculation with PBE was carried out for a geometry-optimized BeTeP2 structure.

It has space group Imm2 (No. 44), with a = 3.183 Å, b = 5.800 Å, c = 11.594 Å, α = 90.00°, β = 90.00° and γ = 90.00°. The inequivalent atoms are Be at (0.000, 0.000, 0.000), Te at (0.000, 0.500, 0.667), P at (0.000, 0.000, 0.727) and P at (0.000, 0.500, 0.358).

The calculation puts the energy at -3.983 eV per atom. The relative energy among the computed polymorphs comes out at 285 meV per atom. The calculation puts the formation energy (no corrections) at 439 meV per atom. The value obtained for the size of the total moment is 0.259 μB/cell.


7.
A plane-wave DFT calculation with PBE was carried out for a geometry-optimized BeTeP2 structure.

It has space group I-42d (No. 122), with a = 5.591 Å, b = 5.591 Å, c = 10.880 Å, α = 90.00°, β = 90.00° and γ = 90.00°. The inequivalent atoms are Be at (0.000, 0.000, 0.000), Te at (0.000, 0.000, 0.500) and P at (0.158, 0.250, 0.125).

The calculation puts the energy at -4.187 eV per atom. The relative energy among the computed polymorphs comes out at 81 meV per atom. The calculation puts the formation energy (no corrections) at 235 meV per atom. The value obtained for the size of the total moment is 0.000 μB/cell.


8.
A plane-wave DFT calculation with PBE was carried out for a geometry-optimized BeV2TeP structure.

It has space group P4/mmm (No. 123), with a = 4.620 Å, b = 4.620 Å, c = 3.898 Å, α = 90.00°, β = 90.00° and γ = 90.00°. The inequivalent atoms are Be at (0.000, 0.000, 0.000), V at (0.000, 0.500, 0.500), Te at (0.500, 0.500, 0.000) and P at (0.000, 0.000, 0.500).

The calculation puts the energy at -5.902 eV per atom. The calculation puts the formation energy (no corrections) at 201 meV per atom. The value obtained for the size of the total moment is 3.105 μB/cell.


9.
A plane-wave DFT calculation with PBE was carried out for a geometry-optimized Th2BeP structure.

It has space group R-3m (No. 166, hexagonal axes), with a = 3.8414 Å, b = 3.8414 Å, c = 28.2813 Å, α = 90.00°, β = 90.00° and γ = 120.00°. The inequivalent atoms are Th at (0.0000, 0.0000, 0.1055), Be at (0.0000, 0.0000, 0.0000) and P at (0.0000, 0.0000, 0.5000).

The calculation puts the energy at -5.785 eV per atom. The value obtained for the size of the total moment is 0.009 μB/cell.


10.
A plane-wave DFT calculation with PBE was carried out for a geometry-optimized ThBeP structure.

It has space group P-6m2 (No. 187), with a = 3.7357 Å, b = 3.7357 Å, c = 4.3683 Å, α = 90.00°, β = 90.00° and γ = 120.00°. The inequivalent atoms are Th at (0.0000, 0.0000, 0.0000), Be at (0.3333, 0.6667, 0.5000) and P at (0.6667, 0.3333, 0.5000).

The calculation puts the energy at -6.406 eV per atom. The relative energy among the computed polymorphs comes out at 0 meV per atom. The value obtained for the size of the total moment is 0.000 μB/cell.


11.
A plane-wave DFT calculation with PBE was carried out for a geometry-optimized ThBeP2 structure.

It has space group R-3m (No. 166, hexagonal axes), with a = 4.4174 Å, b = 4.4174 Å, c = 20.2227 Å, α = 90.00°, β = 90.00° and γ = 120.00°. The inequivalent atoms are Th at (0.0000, 0.0000, 0.0000), Be at (0.0000, 0.0000, 0.5000) and P at (0.0000, 0.0000, 0.4017).

The calculation puts the energy at -6.010 eV per atom. The value obtained for the size of the total moment is 0.000 μB/cell.


12.
A plane-wave DFT calculation with PBE was carried out for a geometry-optimized ThBeP structure.

It has space group C2/m (No. 12), with a = 5.764 Å, b = 5.688 Å, c = 7.739 Å, α = 90.00°, β = 99.41° and γ = 90.00°. The inequivalent atoms are Th at (0.195, 0.000, 0.271), Be at (0.161, 0.500, 0.078) and P at (0.213, 0.500, 0.348).

The calculation puts the energy at -6.145 eV per atom. The relative energy among the computed polymorphs comes out at 260 meV per atom. The value obtained for the size of the total moment is 0.000 μB/cell.